Computed, not measured: an optimized crystal structure of FeWO2F at the PBE+U level of DFT.

The space group is P4/mmm (No. 123) and the conventional cell measures 3.959, 3.959 and 3.746 Å, with angles of 90.00, 90.00 and 90.00 degrees. The inequivalent atoms are Fe at (0.000, 0.000, 0.000), W at (0.500, 0.500, 0.500), O at (0.000, 0.500, 0.000) and F at (0.000, 0.000, 0.500).

The total energy comes out at -26.97 eV for the cell shown.